Density functional theory data (GGA-PBE) for KGeI4 after structural relaxation.

Its total magnetization is 0.0 μB/cell. The formation energy without anion corrections comes out at -0.6353 eV/atom. The calculation puts the energy at -31.45 eV per cell.

Cell and atoms, written as POSCAR:
```
KGeI4
1.0
7.280 -0.966 0.000
-4.740 7.923 0.000
0.000 0.000 12.493
Ge I K
2 8 2
direct
0.017 0.842 0.250
0.983 0.158 0.750
0.645 0.837 0.250
0.355 0.163 0.750
0.988 0.345 0.922
0.988 0.345 0.578
0.012 0.655 0.078
0.614 0.794 0.750
0.386 0.206 0.250
0.012 0.655 0.422
0.012 0.338 0.250
0.988 0.662 0.750
```